Record 1
Compound: Fe2MoW
Source: Alexandria
Functional: meta-GGA SCAN
Structure: PBEsol geometry

Summary:
Space-group type: No. 6
E_form (eV/f.u.): 0.4

Lattice parameters (Å, degrees): 2.5807 4.2262 4.9289 90.00 98.83 90.00
With the nearest neighbours (Å) after each atom.
Atoms (fractional coordinates):
Fe  0.0000  0.0000  0.0000  4 Fe 2.53-2.58, 2 W 2.54-2.67, 2 Mo 2.56
Fe  0.2069  0.5000  0.7553  4 Fe 2.53-2.58, 2 Mo 2.54-2.67, 2 W 2.57
Mo  0.7253  0.5000  0.2361  5 Fe 2.54-2.84, 2 Mo 2.58, 2 W 2.66
W  0.4818  0.0000  0.5185  5 Fe 2.54-2.84, 2 W 2.58, 2 Mo 2.66

Record 2
Compound: FeMo2W
Source: Alexandria
Functional: meta-GGA SCAN
Structure: PBEsol geometry

Summary:
Relative energy among the computed polymorphs (eV/atom): 0.075
Space-group type: No. 216
E_form (eV/f.u.): 0.6

Lattice parameters (Å, degrees): 4.3275 4.3275 4.3275 60.00 60.00 60.00
With the nearest neighbours (Å) after each atom.
Atoms (fractional coordinates):
Fe  0.0000  0.0000  0.0000  4 W 2.65, 4 Mo 2.65
Mo  0.2500  0.2500  0.2500  4 Mo 2.65, 4 Fe 2.65
Mo  0.5000  0.5000  0.5000  4 W 2.65, 4 Mo 2.65
W  0.7500  0.7500  0.7500  4 Mo 2.65, 4 Fe 2.65

Record 3
Compound: Fe3MoW
Source: Alexandria
Functional: meta-GGA SCAN
Structure: PBEsol geometry

Summary:
Space-group type: No. 221
E_form (eV/f.u.): 9.7

Lattice parameters (Å, degrees): 4.2364 4.2364 4.2364 90.00 90.00 90.00
With the nearest neighbours (Å) after each atom.
Atoms (fractional coordinates):
Fe  0.0000  0.0000  0.5000  2 Mo 2.12
Fe  0.0000  0.5000  0.0000  2 Mo 2.12
Fe  0.5000  0.0000  0.0000  2 Mo 2.12
Mo  0.0000  0.0000  0.0000  6 Fe 2.12
W  0.5000  0.5000  0.5000  12 Fe 3.00